# 1
The following is a DFT calculation (PBE-GGA) of a geometry-optimized RbLiScI5 structure.

Cell lengths 8.399, 8.399, 11.083 Å; angles 102.93, 102.93, 107.63 degrees
Fractional coordinates of all 16 atoms:
Rb (0.348, 0.652, 0.250)
Rb (0.652, 0.348, 0.750)
Li (0.692, 0.308, 0.250)
Li (0.308, 0.692, 0.750)
Sc (0.000, 0.000, 0.500)
Sc (0.000, 0.000, 0.000)
I (0.071, 0.929, 0.250)
I (0.929, 0.071, 0.750)
I (0.910, 0.300, 0.099)
I (0.090, 0.700, 0.901)
I (0.700, 0.090, 0.401)
I (0.300, 0.910, 0.599)
I (0.769, 0.636, 0.435)
I (0.231, 0.364, 0.565)
I (0.364, 0.231, 0.065)
I (0.636, 0.769, 0.935)

For the total magnetization, the calculation gives 0.0 μB/cell. The density comes out at 3.72 Mg/m³. As for the space-group type: C2/c (15). The volume is 689 Å³ per cell. The density of states at the Fermi level is 0.00 states/eV per atom. For the energy relative to the elements, uncorrected, the calculation gives -122 kJ/mol of atoms.

---

# 2
The following is a DFT calculation (PBE-GGA) of a geometry-optimized RbLiSc2I8 structure.

Cell lengths 7.616, 7.616, 11.689 Å; angles 70.99, 70.99, 60.00 degrees
Fractional coordinates of all 12 atoms:
Rb (0.500, 0.500, 0.500)
Li (0.000, 0.000, 0.000)
Sc (0.254, 0.254, 0.238)
Sc (0.746, 0.746, 0.762)
I (0.171, 0.171, 0.488)
I (0.623, 0.275, 0.168)
I (0.829, 0.829, 0.512)
I (0.934, 0.623, 0.168)
I (0.066, 0.377, 0.832)
I (0.275, 0.934, 0.168)
I (0.725, 0.066, 0.832)
I (0.377, 0.725, 0.832)

For the total magnetization, the calculation gives 0.0 μB/cell. The density comes out at 3.66 Mg/m³. As for the space-group type: R-3 (148). The volume is 544 Å³ per cell. The density of states at the Fermi level is 0.00 states/eV per atom. For the energy relative to the elements, uncorrected, the calculation gives -115 kJ/mol of atoms.

---

# 3
The following is a DFT calculation (PBE-GGA) of a geometry-optimized Rb2LiSeI structure.

Cell lengths 6.695, 4.760, 6.695 Å; angles 90.00, 90.00, 90.00 degrees
Fractional coordinates of all 5 atoms:
I (0.500, 0.500, 0.500)
Se (0.000, 0.000, 0.000)
Rb (0.000, 0.000, 0.500)
Rb (0.500, 0.000, 0.000)
Li (0.000, 0.500, 0.000)

For the total magnetization, the calculation gives 0.0 μB/cell. The density comes out at 2.99 Mg/m³. As for the space-group type: P4/mmm (123). The volume is 213 Å³ per cell. The density of states at the Fermi level is 0.00 states/eV per atom. For the energy relative to the elements, uncorrected, the calculation gives -115 kJ/mol of atoms.

---

# 4
The following is a DFT calculation (PBE-GGA) of a geometry-optimized Rb2LiSiI6 structure.

Cell lengths 8.199, 8.199, 8.200 Å; angles 60.00, 60.00, 90.00 degrees
Fractional coordinates of all 10 atoms:
I (0.242, 0.242, 0.515)
I (0.758, 0.758, 0.485)
I (0.242, 0.242, 0.000)
I (0.758, 0.758, 0.000)
I (0.758, 0.242, 0.000)
I (0.242, 0.758, 0.000)
Si (0.000, 0.000, 0.000)
Rb (0.750, 0.250, 0.500)
Rb (0.250, 0.750, 0.500)
Li (0.500, 0.500, 0.000)

For the total magnetization, the calculation gives 0.0 μB/cell. The density comes out at 4.12 Mg/m³. As for the space-group type: Fm-3m (225). The volume is 390 Å³ per cell. The density of states at the Fermi level is 0.34 states/eV per atom. For the energy relative to the elements, uncorrected, the calculation gives -81 kJ/mol of atoms.

---

# 5
The following is a DFT calculation (PBE-GGA) of a geometry-optimized Rb2LiSmI6 structure.

Cell lengths 8.359, 8.674, 11.903 Å; angles 90.00, 89.74, 90.00 degrees
Fractional coordinates of all 20 atoms:
Rb (0.021, 0.932, 0.252)
Rb (0.521, 0.568, 0.752)
Rb (0.979, 0.068, 0.748)
Rb (0.479, 0.432, 0.248)
Li (0.500, 0.000, 0.000)
Li (0.000, 0.500, 0.500)
Sm (0.500, 0.000, 0.500)
Sm (0.000, 0.500, 0.000)
I (0.299, 0.704, 0.041)
I (0.799, 0.796, 0.541)
I (0.701, 0.296, 0.959)
I (0.201, 0.204, 0.459)
I (0.299, 0.704, 0.462)
I (0.799, 0.796, 0.962)
I (0.701, 0.296, 0.538)
I (0.201, 0.204, 0.038)
I (0.921, 0.510, 0.254)
I (0.421, 0.990, 0.754)
I (0.079, 0.490, 0.746)
I (0.579, 0.010, 0.246)

For the total magnetization, the calculation gives 0.0 μB/cell. The density comes out at 4.19 Mg/m³. As for the space-group type: P2_1/c (14). The volume is 863 Å³ per cell. The density of states at the Fermi level is 0.00 states/eV per atom. For the energy relative to the elements, uncorrected, the calculation gives -136 kJ/mol of atoms.

---

# 6
The following is a DFT calculation (PBE-GGA) of a geometry-optimized RbLi2SmI6 structure.

Cell lengths 7.982, 7.972, 8.644 Å; angles 62.48, 62.44, 59.97 degrees
Fractional coordinates of all 10 atoms:
Rb (0.801, 0.800, 0.598)
Li (0.514, 0.515, 0.458)
Li (0.003, 0.005, 0.986)
Sm (0.323, 0.323, 0.031)
I (0.597, 0.262, 0.231)
I (0.262, 0.909, 0.232)
I (0.910, 0.598, 0.231)
I (0.329, 0.745, 0.750)
I (0.745, 0.177, 0.749)
I (0.177, 0.329, 0.750)

For the total magnetization, the calculation gives 0.0 μB/cell. The density comes out at 4.17 Mg/m³. As for the space-group type: P1 (1). The volume is 403 Å³ per cell. The density of states at the Fermi level is 0.00 states/eV per atom. For the energy relative to the elements, uncorrected, the calculation gives -126 kJ/mol of atoms.

---

# 7
The following is a DFT calculation (PBE-GGA) of a geometry-optimized Rb2Li2SmI6 structure.

Cell lengths 8.754, 8.385, 8.769 Å; angles 110.61, 90.00, 121.46 degrees
Fractional coordinates of all 11 atoms:
Rb (0.702, 0.405, 0.168)
Rb (0.298, 0.595, 0.832)
Li (0.941, 0.883, 0.731)
Li (0.059, 0.117, 0.269)
Sm (0.500, 0.000, 0.500)
I (0.740, 0.479, 0.604)
I (0.193, 0.884, 0.210)
I (0.309, 0.116, 0.790)
I (0.807, 0.116, 0.790)
I (0.691, 0.884, 0.210)
I (0.260, 0.521, 0.396)

For the total magnetization, the calculation gives 1.0 μB/cell. The density comes out at 3.64 Mg/m³. As for the space-group type: C2/m (12). The volume is 500 Å³ per cell. The density of states at the Fermi level is 0.32 states/eV per atom. For the energy relative to the elements, uncorrected, the calculation gives -117 kJ/mol of atoms.

---

# 8
The following is a DFT calculation (PBE-GGA) of a geometry-optimized Rb2LiSnI5 structure.

Cell lengths 4.801, 10.945, 15.488 Å; angles 90.00, 90.00, 102.67 degrees
Fractional coordinates of all 18 atoms:
Rb (0.875, 0.751, 0.815)
Rb (0.102, 0.204, 0.675)
Rb (0.125, 0.249, 0.315)
Rb (0.898, 0.796, 0.175)
Li (0.564, 0.128, 0.939)
Li (0.436, 0.872, 0.439)
Sn (0.791, 0.583, 0.525)
Sn (0.209, 0.417, 0.025)
I (0.354, 0.708, 0.001)
I (0.694, 0.388, 0.884)
I (0.503, 0.005, 0.786)
I (0.282, 0.564, 0.666)
I (0.944, 0.888, 0.534)
I (0.646, 0.292, 0.501)
I (0.306, 0.612, 0.384)
I (0.497, 0.995, 0.286)
I (0.718, 0.436, 0.166)
I (0.056, 0.112, 0.034)

For the total magnetization, the calculation gives 0.0 μB/cell. The density comes out at 3.89 Mg/m³. As for the space-group type: Cmc2_1 (36). The volume is 794 Å³ per cell. The density of states at the Fermi level is 0.00 states/eV per atom. For the energy relative to the elements, uncorrected, the calculation gives -107 kJ/mol of atoms.